A plane-wave DFT calculation with PBE+U was carried out for an optimized crystal structure of KRb2WO3F3.

Geometry as extended XYZ:
```
10
Lattice="0.0000 4.5685 4.6330 4.5035 0.0000 4.6330 4.5035 4.5685 0.0000" Properties=species:S:1:pos:R:3 pbc="T T T"
K 0.0000 0.0000 0.0000
Rb 2.2517 2.2843 2.1946
Rb 6.7552 6.8528 6.8276
W 4.5035 4.5685 4.5048
O 4.5035 4.5685 2.6926
O 6.3363 4.5685 4.8319
O 2.6706 4.5685 4.8319
F 4.5035 2.5593 4.6507
F 4.5035 6.5778 4.6507
F 4.5035 4.5685 6.6880
```

## Properties
- final energy (eV per atom) = -5.469
- mass density (g/cm3) = 4.3